# 1
An optimized crystal structure of InPb2ICl4, computed with GGA-PBE.

Unit cell a=4.851 b=4.851 c=11.384 alpha=90.00 beta=90.00 gamma=90.00
Sites, in units of the cell vectors:
In (0.000, 0.000, 0.000)
Cl (0.000, 0.500, 0.194)
Cl (0.500, 0.000, 0.806)
Cl (0.500, 0.000, 0.194)
Cl (0.000, 0.500, 0.806)
Pb (0.500, 0.500, 0.679)
Pb (0.500, 0.500, 0.321)
I (0.000, 0.000, 0.500)

Properties
- VASP energy: -3.27 eV per atom
- Raw formation energy: -0.882 eV/atom

# 2
An optimized crystal structure of TiCoNi2, computed with GGA-PBE.

Unit cell a=3.448 b=3.448 c=8.853 alpha=78.77 beta=78.77 gamma=90.00
Sites, in units of the cell vectors:
Ni (0.111, 0.625, 0.250)
Ni (0.875, 0.889, 0.750)
Ni (0.639, 0.125, 0.250)
Ni (0.375, 0.361, 0.750)
Co (0.750, 0.250, 0.500)
Co (0.000, 0.000, 0.000)
Ti (0.500, 0.500, 0.000)
Ti (0.250, 0.750, 0.500)

Properties
- N(E_F): 1.425 states/eV per atom
- VASP energy: -6.57 eV per atom
- Energy of formation from the pure elements: 0.07 eV per atom

# 3
An optimized crystal structure of YMgOs2, computed with GGA-PBE.

Unit cell a=9.070 b=9.070 c=9.070 alpha=19.26 beta=19.26 gamma=19.26
Sites, in units of the cell vectors:
Os (0.002, 0.002, 0.002)
Os (0.498, 0.498, 0.498)
Mg (0.750, 0.750, 0.750)
Y (0.250, 0.250, 0.250)

Properties
- N(E_F): 0.744 states/eV per atom
- VASP energy: -7.15 eV per atom
- Energy of formation from the pure elements: 0.48 eV per atom

# 4
An optimized crystal structure of MgAsAu, computed with GGA-PBE.

Unit cell a=7.045 b=4.962 c=4.362 alpha=116.07 beta=108.01 gamma=77.87
Sites, in units of the cell vectors:
Mg (0.609, 0.031, 0.253)
Mg (0.110, 0.531, 0.073)
As (0.224, 0.898, 0.789)
As (0.724, 0.398, 0.018)
Au (0.511, 0.654, 0.481)
Au (0.011, 0.155, 0.371)

Properties
- N(E_F): 0.000 states/eV per atom
- VASP energy: -3.48 eV per atom
- Energy of formation from the pure elements: -0.31 eV per atom

# 5
An optimized crystal structure of Ta2NiIr2, computed with GGA-PBE.

Unit cell a=7.445 b=7.445 c=2.992 alpha=90.00 beta=90.00 gamma=90.00
Sites, in units of the cell vectors:
Ir (0.635, 0.135, 0.000)
Ir (0.365, 0.865, 0.000)
Ir (0.865, 0.635, 0.000)
Ir (0.135, 0.365, 0.000)
Ta (0.166, 0.666, 0.500)
Ta (0.834, 0.334, 0.500)
Ta (0.666, 0.834, 0.500)
Ta (0.334, 0.166, 0.500)
Ni (0.500, 0.500, 0.000)
Ni (0.000, 0.000, 0.000)

Properties
- N(E_F): 0.577 states/eV per atom
- VASP energy: -9.72 eV per atom
- Energy of formation from the pure elements: -0.27 eV per atom

# 6
An optimized crystal structure of La2ZnNi9, computed with GGA-PBE.

Unit cell a=4.939 b=4.939 c=8.751 alpha=73.61 beta=73.61 gamma=60.00
Site moments in Bohr magnetons follow the coordinates.
Sites, in units of the cell vectors:
Ni (0.421, 0.421, 0.236)  0.22
Ni (0.579, 0.579, 0.764)  0.22
Ni (0.500, 0.500, 0.500)  0.07
Ni (0.921, 0.421, 0.236)  0.22
Ni (0.667, 0.667, 0.998)  0.45
Ni (0.079, 0.579, 0.764)  0.22
Ni (0.421, 0.921, 0.236)  0.22
Ni (0.579, 0.079, 0.764)  0.22
Ni (0.333, 0.333, 0.002)  0.45
Zn (0.000, 0.000, 0.000)  -0.01
La (0.867, 0.867, 0.400)  -0.05
La (0.133, 0.133, 0.600)  -0.05

Properties
- N(E_F): 0.896 states/eV per atom
- VASP energy: -5.41 eV per atom
- Energy of formation from the pure elements: -0.15 eV per atom

# 7
An optimized crystal structure of Dy2Ho5Tm2, computed with GGA-PBE.

Unit cell a=12.605 b=6.016 c=10.222 alpha=107.11 beta=128.06 gamma=90.00
Sites, in units of the cell vectors:
Dy (0.200, 0.249, 0.500)
Dy (0.500, 0.384, 0.000)
Dy (0.000, 0.884, 0.000)
Dy (0.800, 0.749, 0.500)
Tm (0.816, 0.314, 0.727)
Tm (0.411, 0.814, 0.727)
Tm (0.589, 0.087, 0.273)
Tm (0.184, 0.587, 0.273)
Ho (0.746, 0.840, 0.094)
Ho (0.152, 0.246, 0.906)
Ho (0.065, 0.789, 0.500)
Ho (0.848, 0.340, 0.094)
Ho (0.453, 0.606, 0.285)
Ho (0.668, 0.821, 0.715)
Ho (0.332, 0.106, 0.285)
Ho (0.547, 0.321, 0.715)
Ho (0.935, 0.289, 0.500)
Ho (0.254, 0.746, 0.906)

Properties
- Polymorph energy (0 for the lowest one): 0.171 eV per atom
- N(E_F): 1.519 states/eV per atom
- VASP energy: -4.37 eV per atom
- Energy of formation from the pure elements: 0.19 eV per atom

# 8
An optimized crystal structure of KRb2Cl, computed with GGA-PBE.

Unit cell a=4.251 b=4.251 c=11.972 alpha=90.00 beta=90.00 gamma=90.00
Sites, in units of the cell vectors:
Rb (0.000, 0.000, 0.838)
Rb (0.000, 0.000, 0.162)
Cl (0.500, 0.500, 0.000)
K (0.500, 0.500, 0.500)

Properties
- Polymorph energy (0 for the lowest one): 0.051 eV per atom
- N(E_F): 0.534 states/eV per atom
- VASP energy: -2.10 eV per atom
- Raw formation energy: -0.875 eV/atom